Below is crystalline Sc2GaSe at its relaxed geometry, with properties calculated at the PBE level.

Values from the calculation:
ΔE_f (raw) = -1.152 eV per atom
E above lowest polymorph = 0.0 meV per atom
Symmetry = Cmcm, No. 63
Total magnetization = 0.000 μB per atom
Calculated volume = 80.95 Å³/f.u.

a = 10.7115 Å, b = 10.7115 Å, c = 3.8392 Å
α = 90.00°, β = 90.00°, γ = 158.43°
Closest atoms and distances in Å follow each position.
Element x y z (fractional)
Sc: 0.0650 0.9350 0.7500  1 Se 2.67, 4 Ga 2.82
Sc: 0.3229 0.6771 0.7500  5 Se 2.76-2.79, 1 Ga 2.84
Sc: 0.6771 0.3229 0.2500  5 Se 2.76-2.79, 1 Ga 2.84
Sc: 0.9350 0.0650 0.2500  1 Se 2.67, 4 Ga 2.82
Ga: 0.4581 0.5419 0.7500  2 Ga 2.61, 5 Sc 2.82-2.84
Ga: 0.5419 0.4581 0.2500  2 Ga 2.61, 5 Sc 2.82-2.84
Se: 0.1919 0.8081 0.7500  6 Sc 2.67-2.79
Se: 0.8081 0.1919 0.2500  6 Sc 2.67-2.79